# 1
Below is Ac2ThSb3 after structural relaxation, with properties calculated at the GGA-PBE level.

Calculated values
The total energy is -34.7 eV/f.u.

abc: 8.1259 8.1272 14.8327
angles: 100.55 100.49 109.48
Atoms (fractional coordinates):
Th1 0.9164 0.9164 0.8328
Th2 0.0836 0.0836 0.1671
Th3 0.1664 0.6664 0.3329
Th4 0.3336 0.8336 0.6672
Sb1 0.8498 0.3365 0.1716
Sb2 0.0851 0.0717 0.6715
Sb3 0.1649 0.6783 0.8285
Sb4 0.0148 0.5148 0.5000
Sb5 0.9283 0.9149 0.3284
Sb6 0.2352 0.2352 0.0000
Sb7 0.5865 0.5999 0.6716
Sb8 0.4851 0.9851 0.5000
Sb9 0.4002 0.4135 0.3284
Sb10 0.7649 0.7649 0.0000
Sb11 0.3217 0.8351 0.1716
Sb12 0.6635 0.1501 0.8284
Ac1 0.9981 0.4981 0.9962
Ac2 0.4182 0.4182 0.8364
Ac3 0.5019 0.0019 0.0038
Ac4 0.5818 0.5819 0.1636
Ac5 0.7481 0.7481 0.4962
Ac6 0.6682 0.1681 0.3364
Ac7 0.2519 0.2519 0.5038
Ac8 0.8318 0.3318 0.6636

# 2
Below is LaMg2Au after structural relaxation, with properties calculated at the GGA-PBE level.

Calculated values
Its formation enthalpy at 0 K is -434 meV/atom.

abc: 5.1380 5.1380 5.1380
angles: 120.06 120.03 89.93
Atoms (fractional coordinates):
Au1 0.5000 0.5000 0.0000
La1 0.2501 0.7501 0.5000
Mg1 0.0000 0.0000 0.0000
Mg2 0.7499 0.2499 0.5000

# 3
Below is Pm4Pr7Y after structural relaxation, with properties calculated at the GGA-PBE level.

Calculated values
Its formation enthalpy at 0 K is 14 meV/atom.

abc: 7.4084 9.8035 9.2007
angles: 81.18 90.02 41.00
Atoms (fractional coordinates):
Pm1 0.5292 0.7210 0.3308
Pm2 0.7207 0.7797 0.6674
Pm3 0.4708 0.2790 0.6692
Pm4 0.2793 0.2203 0.3326
Pr1 0.2209 0.7795 0.6671
Pr2 0.0297 0.7197 0.3320
Pr3 0.2498 0.4998 0.9993
Pr4 0.7502 0.5002 0.0007
Pr5 0.9703 0.2803 0.6680
Pr6 0.5000 0.0000 0.0000
Pr7 0.7791 0.2205 0.3329
Y1 0.0000 0.0000 0.0000